[1]
# Tm5Ti

Crystalline Tm5Ti at its relaxed geometry (PBE, Alexandria). Values from VASP.

Results
* energy of formation: 0.13 eV per atom
* electronic total energy: -4.91 eV per atom

Quantum ESPRESSO input file:
```
&SYSTEM
  ibrav = 0, nat = 6, ntyp = 2
/
ATOMIC_SPECIES
Tm 168.93 Tm.upf
Ti 47.87 Ti.upf
CELL_PARAMETERS angstrom
2.3974 -7.1574 0.0000
2.3974 7.1574 0.0000
0.0000 0.0000 4.8253
ATOMIC_POSITIONS crystal
Tm 0.0000 0.0000 0.0000
Tm 0.1581 0.8419 0.5000
Tm 0.3401 0.6599 0.0000
Tm 0.6599 0.3401 0.0000
Tm 0.8419 0.1581 0.5000
Ti 0.5000 0.5000 0.5000
```

***

[2]
# TmTi6

Crystalline TmTi6 at its relaxed geometry (PBE, Alexandria). Values from VASP.

Results
* energy of formation: 1.42 eV per atom
* electronic total energy: -5.99 eV per atom

Quantum ESPRESSO input file:
```
&SYSTEM
  ibrav = 0, nat = 7, ntyp = 2
/
ATOMIC_SPECIES
Tm 168.93 Tm.upf
Ti 47.87 Ti.upf
CELL_PARAMETERS angstrom
-3.4548 3.4548 3.4548
3.4548 -3.4548 3.4548
3.4548 3.4548 -3.4548
ATOMIC_POSITIONS crystal
Tm 0.0000 0.0000 0.0000
Ti 0.2500 0.5000 0.7500
Ti 0.2500 0.7500 0.5000
Ti 0.5000 0.2500 0.7500
Ti 0.5000 0.7500 0.2500
Ti 0.7500 0.2500 0.5000
Ti 0.7500 0.5000 0.2500
```

***

[3]
# Tm3Ti

Crystalline Tm3Ti at its relaxed geometry (PBE, Alexandria). Values from VASP.

Results
* energy of formation: 0.34 eV per atom
* electronic total energy: -4.99 eV per atom

Quantum ESPRESSO input file:
```
&SYSTEM
  ibrav = 0, nat = 4, ntyp = 2
/
ATOMIC_SPECIES
Tm 168.93 Tm.upf
Ti 47.87 Ti.upf
CELL_PARAMETERS angstrom
3.2417 0.0000 0.0000
0.0000 3.2676 0.0000
0.0000 0.0000 10.3782
ATOMIC_POSITIONS crystal
Tm 0.0000 0.0000 0.0000
Tm 0.0000 0.5000 0.2989
Tm 0.5000 0.5000 0.7516
Ti 0.5000 0.0000 0.4973
```

***

[4]
# TmTi2

Crystalline TmTi2 at its relaxed geometry (PBE, Alexandria). Values from VASP.

Results
* energy of formation: 0.22 eV per atom
* electronic total energy: -6.53 eV per atom

Quantum ESPRESSO input file:
```
&SYSTEM
  ibrav = 0, nat = 6, ntyp = 2
/
ATOMIC_SPECIES
Tm 168.93 Tm.upf
Ti 47.87 Ti.upf
CELL_PARAMETERS angstrom
0.0000 4.0723 4.0723
4.0723 0.0000 4.0723
4.0723 4.0723 0.0000
ATOMIC_POSITIONS crystal
Tm 0.1250 0.1250 0.1250
Tm 0.8750 0.8750 0.8750
Ti 0.0000 0.5000 0.5000
Ti 0.5000 0.0000 0.5000
Ti 0.5000 0.5000 0.0000
Ti 0.5000 0.5000 0.5000
```

***

[5]
# Tm3Ti

Crystalline Tm3Ti at its relaxed geometry (PBE, Alexandria). Values from VASP.

Results
* energy of formation: 0.19 eV per atom
* electronic total energy: -5.14 eV per atom

Quantum ESPRESSO input file:
```
&SYSTEM
  ibrav = 0, nat = 4, ntyp = 2
/
ATOMIC_SPECIES
Tm 168.93 Tm.upf
Ti 47.87 Ti.upf
CELL_PARAMETERS angstrom
4.7315 0.0000 0.0000
0.0000 4.7315 0.0000
0.0000 0.0000 4.7315
ATOMIC_POSITIONS crystal
Tm 0.0000 0.0000 0.5000
Tm 0.0000 0.5000 0.0000
Tm 0.5000 0.0000 0.0000
Ti 0.5000 0.5000 0.5000
```

***

[6]
# Tm2Ti

Crystalline Tm2Ti at its relaxed geometry (PBE, Alexandria). Values from VASP.

Results
* energy of formation: 0.17 eV per atom
* electronic total energy: -5.44 eV per atom

Quantum ESPRESSO input file:
```
&SYSTEM
  ibrav = 0, nat = 3, ntyp = 2
/
ATOMIC_SPECIES
Tm 168.93 Tm.upf
Ti 47.87 Ti.upf
CELL_PARAMETERS angstrom
-1.6648 1.6648 6.8926
1.6648 -1.6648 6.8926
1.6648 1.6648 -6.8926
ATOMIC_POSITIONS crystal
Tm 0.1506 0.1506 0.0000
Tm 0.8494 0.8494 0.0000
Ti 0.5000 0.5000 0.0000
```

***

[7]
# TmTi5

Crystalline TmTi5 at its relaxed geometry (PBE, Alexandria). Values from VASP.

Results
* energy of formation: 0.18 eV per atom
* electronic total energy: -7.15 eV per atom

Quantum ESPRESSO input file:
```
&SYSTEM
  ibrav = 0, nat = 6, ntyp = 2
/
ATOMIC_SPECIES
Tm 168.93 Tm.upf
Ti 47.87 Ti.upf
CELL_PARAMETERS angstrom
2.0696 -6.6697 0.0000
2.0696 6.6697 0.0000
0.0000 0.0000 4.1515
ATOMIC_POSITIONS crystal
Tm 0.0000 0.0000 0.0000
Ti 0.1758 0.8242 0.5000
Ti 0.3217 0.6783 0.0000
Ti 0.5000 0.5000 0.5000
Ti 0.6783 0.3217 0.0000
Ti 0.8242 0.1758 0.5000
```

***

[8]
# TmTi4

Crystalline TmTi4 at its relaxed geometry (PBE, Alexandria). Values from VASP.

Results
* energy of formation: 1.43 eV per atom
* electronic total energy: -5.78 eV per atom

Quantum ESPRESSO input file:
```
&SYSTEM
  ibrav = 0, nat = 5, ntyp = 2
/
ATOMIC_SPECIES
Tm 168.93 Tm.upf
Ti 47.87 Ti.upf
CELL_PARAMETERS angstrom
4.7660 0.0000 0.0000
0.0000 4.7660 0.0000
0.0000 0.0000 4.7660
ATOMIC_POSITIONS crystal
Tm 0.0000 0.0000 0.0000
Ti 0.0000 0.0000 0.5000
Ti 0.0000 0.5000 0.0000
Ti 0.5000 0.0000 0.0000
Ti 0.5000 0.5000 0.5000
```

***

[9]
# TmTi3

Crystalline TmTi3 at its relaxed geometry (PBE, Alexandria). Values from VASP.

Results
* energy of formation: 0.16 eV per atom
* electronic total energy: -6.88 eV per atom

Quantum ESPRESSO input file:
```
&SYSTEM
  ibrav = 0, nat = 4, ntyp = 2
/
ATOMIC_SPECIES
Tm 168.93 Tm.upf
Ti 47.87 Ti.upf
CELL_PARAMETERS angstrom
3.0859 0.0000 0.0000
0.0000 4.7847 0.0000
0.0000 0.0000 5.4428
ATOMIC_POSITIONS crystal
Tm 0.0000 0.0000 0.0000
Ti 0.0000 0.5000 0.6518
Ti 0.5000 0.0000 0.4972
Ti 0.5000 0.5000 0.2082
```

***

[10]
# Tm3Ti

Crystalline Tm3Ti at its relaxed geometry (PBE, Alexandria). Values from VASP.

Results
* energy of formation: 0.18 eV per atom
* electronic total energy: -5.14 eV per atom

Quantum ESPRESSO input file:
```
&SYSTEM
  ibrav = 0, nat = 4, ntyp = 2
/
ATOMIC_SPECIES
Tm 168.93 Tm.upf
Ti 47.87 Ti.upf
CELL_PARAMETERS angstrom
-2.3718 2.3718 4.7134
2.3718 -2.3718 4.7134
2.3718 2.3718 -4.7134
ATOMIC_POSITIONS crystal
Tm 0.0000 0.0000 0.0000
Tm 0.2500 0.7500 0.5000
Tm 0.7500 0.2500 0.5000
Ti 0.5000 0.5000 0.0000
```

***

[11]
# TmTiV4

Crystalline TmTiV4 at its relaxed geometry (PBE, Alexandria). Values from VASP.

Results
* energy of formation: 0.25 eV per atom
* electronic total energy: -7.89 eV per atom

Quantum ESPRESSO input file:
```
&SYSTEM
  ibrav = 0, nat = 6, ntyp = 3
/
ATOMIC_SPECIES
Tm 168.93 Tm.upf
Ti 47.87 Ti.upf
V 50.94 V.upf
CELL_PARAMETERS angstrom
0.0000 3.6669 3.6669
3.6669 0.0000 3.6669
3.6669 3.6669 0.0000
ATOMIC_POSITIONS crystal
Tm 0.0000 0.0000 0.0000
Ti 0.7500 0.7500 0.7500
V 0.3746 0.3746 0.3746
V 0.3746 0.3746 0.8763
V 0.3746 0.8763 0.3746
V 0.8763 0.3746 0.3746
```

***

[12]
# TmTi2W

Crystalline TmTi2W at its relaxed geometry (PBE, Alexandria). Values from VASP.

Results
* energy relative to the lowest polymorph listed for this composition: 0.000 eV/atom
* energy of formation: 0.11 eV per atom
* electronic total energy: -8.20 eV per atom

Quantum ESPRESSO input file:
```
&SYSTEM
  ibrav = 0, nat = 4, ntyp = 3
/
ATOMIC_SPECIES
Tm 168.93 Tm.upf
Ti 47.87 Ti.upf
W 183.84 W.upf
CELL_PARAMETERS angstrom
3.3145 0.0000 0.0000
0.0000 3.3145 0.0000
0.0000 0.0000 7.0970
ATOMIC_POSITIONS crystal
Tm 0.0000 0.0000 0.0000
Ti 0.5000 0.5000 0.3032
Ti 0.5000 0.5000 0.6968
W 0.0000 0.0000 0.5000
```

***

[13]
# TmTi2W

Crystalline TmTi2W at its relaxed geometry (PBE, Alexandria). Values from VASP.

Results
* energy relative to the lowest polymorph listed for this composition: 0.193 eV/atom
* energy of formation: 0.30 eV per atom
* electronic total energy: -8.01 eV per atom

Quantum ESPRESSO input file:
```
&SYSTEM
  ibrav = 0, nat = 4, ntyp = 3
/
ATOMIC_SPECIES
Tm 168.93 Tm.upf
Ti 47.87 Ti.upf
W 183.84 W.upf
CELL_PARAMETERS angstrom
1.5704 0.9066 9.2931
-1.5704 0.9066 9.2931
0.0000 -1.8133 9.2931
ATOMIC_POSITIONS crystal
Tm 0.0000 0.0000 0.0000
Ti 0.2363 0.2363 0.2363
Ti 0.7637 0.7637 0.7637
W 0.5000 0.5000 0.5000
```

***

[14]
# YTm2Ti

Crystalline YTm2Ti at its relaxed geometry (PBE, Alexandria). Values from VASP.

Results
* energy relative to the lowest polymorph listed for this composition: 0.267 eV/atom
* energy of formation: 0.42 eV per atom
* electronic total energy: -5.40 eV per atom

Quantum ESPRESSO input file:
```
&SYSTEM
  ibrav = 0, nat = 4, ntyp = 3
/
ATOMIC_SPECIES
Y 88.91 Y.upf
Tm 168.93 Tm.upf
Ti 47.87 Ti.upf
CELL_PARAMETERS angstrom
1.6691 0.9637 11.6080
-1.6691 0.9637 11.6080
0.0000 -1.9274 11.6080
ATOMIC_POSITIONS crystal
Y 0.0000 0.0000 0.0000
Tm 0.4163 0.4163 0.4163
Tm 0.5837 0.5837 0.5837
Ti 0.5000 0.5000 0.5000
```